# PBE KLiSi2, relaxed
# crystal system: tetragonal
# E: -3.020 eV/atom
# size of the total moment: 0.0 μB per formula unit
# distance to the lowest polymorph of the same formula: 432 meV per atom
# energy relative to the elements, uncorrected: 445 meV/atom
data_KLiSi2
_chemical_formula_sum 'K2 Li2 Si4'
_cell_length_a 4.9293
_cell_length_b 4.9293
_cell_length_c 6.9558
_cell_angle_alpha 90.00
_cell_angle_beta 90.00
_cell_angle_gamma 90.00
_space_group_name_H-M_alt 'I -4 m 2'
_space_group_IT_number 119
_space_group_name_Hall 'I -4 -2'
loop_
_atom_site_label
_atom_site_type_symbol
_atom_site_fract_x
_atom_site_fract_y
_atom_site_fract_z
K1 K 0.0000 0.0000 0.0000
Li1 Li 0.0000 0.5000 0.2500
Si1 Si 0.0000 0.0000 0.5000
Si2 Si 0.0000 0.5000 0.7500